1.
Material: Sc2CdO4
Method: DFT, PBE
State: optimized geometry

```
Sc2CdO4
1.0
0.628 4.438 4.606
3.891 -3.937 3.267
5.851 1.997 1.764
O Cd Sc
8 2 4
Direct
0.734 0.202 0.032
0.702 0.234 0.532
0.298 0.766 0.468
0.734 0.766 0.468
0.734 0.766 0.032
0.266 0.234 0.968
0.266 0.798 0.968
0.266 0.234 0.532
0.125 0.375 0.250
0.875 0.625 0.750
0.500 0.000 0.500
0.500 0.500 0.500
0.000 0.000 0.000
0.500 0.000 0.000
```

Summary:
Formation energy without anion corrections: -2.84 eV per atom

=====

2.
Material: KSnN2
Method: DFT, PBE
State: optimized geometry

```
KSnN2
1.0
-1.568 -3.162 6.569
1.823 -3.288 6.440
0.267 -0.440 7.440
N K Sn
2 1 1
Direct
0.117 0.117 0.117
0.883 0.883 0.883
0.000 0.000 0.000
0.500 0.500 0.500
```

Summary:
Formation energy without anion corrections: 0.64 eV per atom

=====

no.,DOS at the Fermi energy (states/eV per cell)
1,0.0
2,2.2